[1]
# Tb2NdSm4Dy | Alexandria via LeMat-Bulk | PBE-GGA | optimized geometry
data_Tb2NdSm4Dy
_space_group_name_H-M_alt 'P 1'
_space_group_IT_number 1
_space_group_name_Hall 'P 1'
_cell_length_a 3.6121
_cell_length_b 6.2373
_cell_length_c 11.9695
_cell_angle_alpha 79.82
_cell_angle_beta 90.00
_cell_angle_gamma 90.00
loop_
_atom_site_label
_atom_site_fract_x
_atom_site_fract_y
_atom_site_fract_z
Tb1 0.0000 0.0000 0.0000
Tb2 0.5000 0.0000 0.5000
Nd1 0.5000 0.5000 0.0000
Sm1 0.0000 0.7515 0.7478
Sm2 0.0000 0.2485 0.2522
Sm3 0.5000 0.7494 0.2516
Sm4 0.5000 0.2506 0.7484
Dy1 0.0000 0.5000 0.5000
# crystal system = monoclinic
# energy = -4.67 eV/atom
# calculated volume = 33.18 A^3/atom
# spin magnetization = 0.0 μB per formula unit
# E_form = 0.016 eV per atom

[2]
# TbNd2Sm2Dy | Alexandria via LeMat-Bulk | PBE-GGA | optimized geometry
data_TbNd2Sm2Dy
_space_group_name_H-M_alt 'P 1'
_space_group_IT_number 1
_space_group_name_Hall 'P 1'
_cell_length_a 5.7146
_cell_length_b 7.0710
_cell_length_c 9.9028
_cell_angle_alpha 90.00
_cell_angle_beta 90.00
_cell_angle_gamma 90.00
loop_
_atom_site_label
_atom_site_fract_x
_atom_site_fract_y
_atom_site_fract_z
Tb1 0.0000 0.0074 0.4999
Tb2 0.0000 0.5074 0.5001
Nd1 0.5000 0.0077 0.0001
Nd2 0.0000 0.2578 0.1751
Nd3 0.5000 0.5077 0.9999
Nd4 0.0000 0.7578 0.8249
Sm1 0.0000 0.2577 0.8370
Sm2 0.5000 0.2575 0.3314
Sm3 0.0000 0.7577 0.1630
Sm4 0.5000 0.7575 0.6686
Dy1 0.5000 0.2574 0.6609
Dy2 0.5000 0.7574 0.3391
# crystal system = orthorhombic
# energy = -4.64 eV/atom
# calculated volume = 33.35 A^3/atom
# spin magnetization = 0.0 μB per formula unit
# E_form = 0.059 eV per atom

[3]
# Tb2Nd3SmDy6 | Alexandria via LeMat-Bulk | PBE-GGA | optimized geometry
data_Tb2Nd3SmDy6
_space_group_name_H-M_alt 'P 1'
_space_group_IT_number 1
_space_group_name_Hall 'P 1'
_cell_length_a 6.2200
_cell_length_b 6.2200
_cell_length_c 11.8442
_cell_angle_alpha 95.00
_cell_angle_beta 95.00
_cell_angle_gamma 119.98
loop_
_atom_site_label
_atom_site_fract_x
_atom_site_fract_y
_atom_site_fract_z
Tb1 0.3333 0.6667 0.0000
Tb2 0.6667 0.3333 0.0000
Nd1 0.1668 0.8332 0.5000
Nd2 0.8332 0.1668 0.5000
Nd3 0.5000 0.5000 0.5000
Sm1 0.0000 0.0000 0.0000
Dy1 0.9172 0.5835 0.7525
Dy2 0.7492 0.7492 0.2475
Dy3 0.0828 0.4165 0.2475
Dy4 0.5835 0.9172 0.7525
Dy5 0.2508 0.2508 0.7525
Dy6 0.4165 0.0828 0.2475
# crystal system = monoclinic
# energy = -4.64 eV/atom
# calculated volume = 32.57 A^3/atom
# spin magnetization = 0.0 μB per formula unit
# E_form = 0.015 eV per atom

[4]
# TbNd6Sm3Dy2 | Alexandria via LeMat-Bulk | PBE-GGA | optimized geometry
data_TbNd6Sm3Dy2
_space_group_name_H-M_alt 'P 1'
_space_group_IT_number 1
_space_group_name_Hall 'P 1'
_cell_length_a 6.3077
_cell_length_b 6.3077
_cell_length_c 11.9933
_cell_angle_alpha 95.02
_cell_angle_beta 95.02
_cell_angle_gamma 120.00
loop_
_atom_site_label
_atom_site_fract_x
_atom_site_fract_y
_atom_site_fract_z
Tb1 0.0000 0.0000 0.0000
Nd1 0.9171 0.5837 0.7522
Nd2 0.7494 0.7494 0.2477
Nd3 0.0829 0.4163 0.2478
Nd4 0.5837 0.9171 0.7522
Nd5 0.2506 0.2506 0.7523
Nd6 0.4163 0.0829 0.2478
Sm1 0.1667 0.8333 0.5000
Sm2 0.8333 0.1667 0.5000
Sm3 0.5000 0.5000 0.5000
Dy1 0.3333 0.6667 0.0000
Dy2 0.6667 0.3333 0.0000
# crystal system = monoclinic
# energy = -4.70 eV/atom
# calculated volume = 33.90 A^3/atom
# spin magnetization = 0.0 μB per formula unit
# E_form = 0.012 eV per atom

[5]
# TbNdSm3Dy | Alexandria via LeMat-Bulk | PBE-GGA | optimized geometry
data_TbNdSm3Dy
_space_group_name_H-M_alt 'P 1'
_space_group_IT_number 1
_space_group_name_Hall 'P 1'
_cell_length_a 5.8845
_cell_length_b 6.4539
_cell_length_c 11.8446
_cell_angle_alpha 90.00
_cell_angle_beta 90.00
_cell_angle_gamma 117.12
loop_
_atom_site_label
_atom_site_fract_x
_atom_site_fract_y
_atom_site_fract_z
Tb1 0.8312 0.6624 0.7500
Tb2 0.1688 0.3376 0.2500
Nd1 0.5276 0.0551 0.7500
Nd2 0.4724 0.9449 0.2500
Sm1 0.6715 0.3430 0.4725
Sm2 0.3285 0.6570 0.5275
Sm3 0.3285 0.6570 0.9725
Sm4 0.6715 0.3430 0.0275
Sm5 0.1381 0.2763 0.7500
Sm6 0.8619 0.7237 0.2500
Dy1 0.0000 0.0000 0.5000
Dy2 0.0000 0.0000 0.0000
# crystal system = orthorhombic
# energy = -4.58 eV/atom
# calculated volume = 33.36 A^3/atom
# spin magnetization = 0.0 μB per formula unit
# E_form = 0.118 eV per atom

[6]
# Tb2NdSm6Dy3 | Alexandria via LeMat-Bulk | PBE-GGA | optimized geometry
data_Tb2NdSm6Dy3
_space_group_name_H-M_alt 'P 1'
_space_group_IT_number 1
_space_group_name_Hall 'P 1'
_cell_length_a 6.2368
_cell_length_b 6.2368
_cell_length_c 11.9162
_cell_angle_alpha 95.00
_cell_angle_beta 95.00
_cell_angle_gamma 119.98
loop_
_atom_site_label
_atom_site_fract_x
_atom_site_fract_y
_atom_site_fract_z
Tb1 0.3334 0.6666 0.0000
Tb2 0.6666 0.3334 0.0000
Nd1 0.0000 0.0000 0.0000
Sm1 0.9158 0.5818 0.7483
Sm2 0.7503 0.7503 0.2517
Sm3 0.0842 0.4182 0.2517
Sm4 0.5818 0.9158 0.7483
Sm5 0.2497 0.2497 0.7483
Sm6 0.4182 0.0842 0.2517
Dy1 0.1669 0.8331 0.5000
Dy2 0.8331 0.1669 0.5000
Dy3 0.5000 0.5000 0.5000
# crystal system = monoclinic
# energy = -4.67 eV/atom
# calculated volume = 32.95 A^3/atom
# spin magnetization = 0.0 μB per formula unit
# E_form = 0.014 eV per atom

[7]
# Tb4NdSm2Dy | Alexandria via LeMat-Bulk | PBE-GGA | optimized geometry
data_Tb4NdSm2Dy
_space_group_name_H-M_alt 'P 1'
_space_group_IT_number 1
_space_group_name_Hall 'P 1'
_cell_length_a 9.5434
_cell_length_b 9.5434
_cell_length_c 11.8491
_cell_angle_alpha 128.37
_cell_angle_beta 128.37
_cell_angle_gamma 88.38
loop_
_atom_site_label
_atom_site_fract_x
_atom_site_fract_y
_atom_site_fract_z
Tb1 0.2480 0.7530 0.0005
Tb2 0.7469 0.2520 0.4995
Tb3 0.2530 0.7480 0.5005
Tb4 0.7520 0.2470 0.9995
Tb5 0.7478 0.7486 0.9961
Tb6 0.7514 0.7522 0.5039
Tb7 0.2486 0.2478 0.4961
Tb8 0.2522 0.2514 0.0039
Nd1 0.0000 0.5000 0.0000
Nd2 0.0000 0.5000 0.5000
Sm1 0.5000 0.0000 0.0000
Sm2 0.5000 0.0000 0.5000
Sm3 0.0000 0.0000 0.5000
Sm4 0.5000 0.5000 0.0000
Dy1 0.5000 0.5000 0.5000
Dy2 0.0000 0.0000 0.0000
# crystal system = monoclinic
# energy = -4.25 eV/atom
# calculated volume = 33.74 A^3/atom
# spin magnetization = 3.1 μB per formula unit
# E_form = 0.415 eV per atom

[8]
# TbNd6Sm2Dy3 | Alexandria via LeMat-Bulk | PBE-GGA | optimized geometry
data_TbNd6Sm2Dy3
_space_group_name_H-M_alt 'P 1'
_space_group_IT_number 1
_space_group_name_Hall 'P 1'
_cell_length_a 6.2970
_cell_length_b 6.2970
_cell_length_c 11.9537
_cell_angle_alpha 95.03
_cell_angle_beta 95.03
_cell_angle_gamma 120.00
loop_
_atom_site_label
_atom_site_fract_x
_atom_site_fract_y
_atom_site_fract_z
Tb1 0.0000 0.0000 0.0000
Nd1 0.9160 0.5831 0.7483
Nd2 0.7511 0.7511 0.2519
Nd3 0.0840 0.4169 0.2517
Nd4 0.5831 0.9160 0.7483
Nd5 0.2489 0.2489 0.7481
Nd6 0.4169 0.0840 0.2517
Sm1 0.3333 0.6667 0.0000
Sm2 0.6667 0.3333 0.0000
Dy1 0.1666 0.8334 0.5000
Dy2 0.8334 0.1666 0.5000
Dy3 0.5000 0.5000 0.5000
# crystal system = monoclinic
# energy = -4.69 eV/atom
# calculated volume = 33.68 A^3/atom
# spin magnetization = 0.0 μB per formula unit
# E_form = 0.012 eV per atom

[9]
# Tb2Nd3Sm6Dy | Alexandria via LeMat-Bulk | PBE-GGA | optimized geometry
data_Tb2Nd3Sm6Dy
_space_group_name_H-M_alt 'P 1'
_space_group_IT_number 1
_space_group_name_Hall 'P 1'
_cell_length_a 6.2795
_cell_length_b 6.2795
_cell_length_c 12.0094
_cell_angle_alpha 95.00
_cell_angle_beta 95.00
_cell_angle_gamma 120.00
loop_
_atom_site_label
_atom_site_fract_x
_atom_site_fract_y
_atom_site_fract_z
Tb1 0.3333 0.6667 0.0000
Tb2 0.6667 0.3333 0.0000
Nd1 0.1666 0.8334 0.5000
Nd2 0.8334 0.1666 0.5000
Nd3 0.5000 0.5000 0.5000
Sm1 0.9176 0.5844 0.7536
Sm2 0.7492 0.7492 0.2465
Sm3 0.0824 0.4156 0.2464
Sm4 0.5844 0.9176 0.7536
Sm5 0.2508 0.2508 0.7535
Sm6 0.4156 0.0824 0.2464
Dy1 0.0000 0.0000 0.0000
# crystal system = monoclinic
# energy = -4.69 eV/atom
# calculated volume = 33.65 A^3/atom
# spin magnetization = 0.0 μB per formula unit
# E_form = 0.015 eV per atom

[10]
# Tb2Nd2SmDy2 | Alexandria via LeMat-Bulk | PBE-GGA | optimized geometry
data_Tb2Nd2SmDy2
_space_group_name_H-M_alt 'P 1'
_space_group_IT_number 1
_space_group_name_Hall 'P 1'
_cell_length_a 3.5418
_cell_length_b 6.1582
_cell_length_c 11.9125
_cell_angle_alpha 71.56
_cell_angle_beta 90.00
_cell_angle_gamma 106.71
loop_
_atom_site_label
_atom_site_fract_x
_atom_site_fract_y
_atom_site_fract_z
Tb1 0.4489 0.8979 0.7704
Tb2 0.5511 0.1021 0.2296
Nd1 0.6702 0.3403 0.9164
Nd2 0.3298 0.6597 0.0836
Sm1 0.0000 0.0000 0.5000
Dy1 0.7749 0.5498 0.3628
Dy2 0.2251 0.4502 0.6372
# crystal system = monoclinic
# energy = -4.59 eV/atom
# calculated volume = 33.55 A^3/atom
# spin magnetization = 0.0 μB per formula unit
# E_form = 0.085 eV per atom